[1]
A plane-wave DFT calculation with PBE-GGA was carried out for a geometry-optimized In2Hg2Cl3 structure.

Results
raw formation energy = -0.60 eV per atom
E = -2.263 eV per atom

a b c (Å): 4.6549 7.1413 7.4302
angles (deg): 81.22 82.57 74.00
Closest atoms and distances in Å follow each position.
Space group P-1 (No. 2)
One atom of each set of equivalent atoms:
In1 0.2063 0.2059 0.1414  3 Cl 2.70-2.81, 1 Hg 2.95
Hg1 0.2070 0.5724 0.5825  2 Hg 2.82-2.90, 1 In 2.95
Cl1 0.2690 0.0872 0.8068  2 In 2.70-2.77
Cl2 0.5000 0.5000 0.0000  2 In 2.81

***

[2]
A plane-wave DFT calculation with PBE-GGA was carried out for a geometry-optimized Sc5In2CuIr2 structure.

Results
E = -6.452 eV per atom

a b c (Å): 11.0641 11.0641 3.3862
angles (deg): 90.00 90.00 90.00
Closest atoms and distances in Å follow each position.
Space group P4/mbm (No. 127)
One atom of each set of equivalent atoms:
Sc1 0.0000 0.5000 0.0000  4 Ir 2.71
Sc2 0.0733 0.1958 0.0000  2 Ir 2.61, 2 Cu 2.87
In1 0.1714 0.6714 0.5000  1 Ir 3.03, 6 Sc 3.17-3.30, 2 In 3.39
Cu1 0.0000 0.0000 0.5000  8 Sc 2.87
Ir1 0.1352 0.3648 0.5000  6 Sc 2.61-2.71

***

[3]
A plane-wave DFT calculation with PBE-GGA was carried out for a geometry-optimized La3ZrTc structure.

Results
E = -5.431 eV per atom

a b c (Å): 5.5137 5.5137 5.5137
angles (deg): 90.00 90.00 90.00
Closest atoms and distances in Å follow each position.
Space group Pm-3m (No. 221)
One atom of each set of equivalent atoms:
La1 0.0000 0.0000 0.5000  2 Zr 2.76
Zr1 0.0000 0.0000 0.0000  6 La 2.76
Tc1 0.5000 0.5000 0.5000  12 La 3.90

***

[4]
A plane-wave DFT calculation with PBE-GGA was carried out for a geometry-optimized Nd2Zn2InPt5 structure.

Results
E = -5.285 eV per atom

a b c (Å): 9.8558 9.8558 3.8698
angles (deg): 90.00 90.00 90.00
Closest atoms and distances in Å follow each position.
Space group P4/mbm (No. 127)
One atom of each set of equivalent atoms:
Nd1 0.1780 0.3220 0.0000  3 Zn 2.83-2.98, 2 Pt 3.15
Zn1 0.1190 0.6190 0.0000  6 Pt 2.55-2.62, 1 Nd 2.83
In1 0.0000 0.0000 0.0000  8 Pt 2.90
Pt1 0.0000 0.5000 0.5000  4 Zn 2.55
Pt2 0.0642 0.7901 0.5000  2 Zn 2.62, 2 In 2.90, 1 Pt 2.93

***

[5]
A plane-wave DFT calculation with PBE-GGA was carried out for a geometry-optimized La2Pr5Sm2 structure.

Results
E = -4.786 eV per atom

a b c (Å): 15.6990 5.2526 8.2675
angles (deg): 90.00 108.49 90.00
Closest atoms and distances in Å follow each position.
Space group C2/m (No. 12)
One atom of each set of equivalent atoms:
La1 0.1666 0.0000 0.0000  7 Pr 3.69-3.72, 2 La 3.71, 3 Sm 3.71-3.72
Pr1 0.0000 0.5000 0.0000  4 La 3.71, 2 Sm 3.71, 6 Pr 3.72
Pr2 0.0567 0.0000 0.3352  3 Sm 3.67-3.70, 7 Pr 3.69-3.73, 2 La 3.70-3.72
Pr3 0.1119 0.5000 0.6655  3 Sm 3.67-3.70, 6 Pr 3.69-3.73, 3 La 3.69-3.71
Sm1 0.2226 0.5000 0.3354  7 Pr 3.67-3.71, 2 Sm 3.68, 3 La 3.71-3.72

***

[6]
A plane-wave DFT calculation with PBE-GGA was carried out for a geometry-optimized Rb2HgRuO6 structure.

Results
raw formation energy = -0.71 eV per atom
E = -4.840 eV per atom

a b c (Å): 6.2574 6.2574 5.9371
angles (deg): 90.00 90.00 120.00
Closest atoms and distances in Å follow each position.
Space group P-3m1 (No. 164)
One atom of each set of equivalent atoms:
Rb1 0.3333 0.6667 0.1705  9 O 2.99-3.14
Hg1 0.0000 0.0000 0.5000  6 O 2.39
Ru1 0.0000 0.0000 0.0000  6 O 1.90
O1 0.1409 0.2817 0.8093  1 Ru 1.90

***

[7]
A plane-wave DFT calculation with PBE-GGA was carried out for a geometry-optimized Tb2TmNi structure.

Results
E = -5.096 eV per atom

a b c (Å): 3.6359 11.8436 9.5471
angles (deg): 90.00 90.00 90.00
Closest atoms and distances in Å follow each position.
Space group Cmcm (No. 63)
One atom of each set of equivalent atoms:
Tb1 0.0000 0.1360 0.0691  2 Ni 2.78
Tm1 0.0000 0.4172 0.2500  2 Ni 2.81
Ni1 0.0000 0.2633 0.7500  4 Tb 2.78, 2 Tm 2.81

***

[8]
A plane-wave DFT calculation with PBE-GGA was carried out for a geometry-optimized MnSnPCl2 structure.

Results
raw formation energy = -0.20 eV per atom
E = -4.658 eV per atom

a b c (Å): 4.7033 4.7033 5.0532
angles (deg): 90.00 90.00 90.00
Closest atoms and distances in Å follow each position.
Space group P4/mmm (No. 123)
One atom of each set of equivalent atoms:
Mn1 0.0000 0.0000 0.0000  4 Cl 2.35, 2 P 2.53
Sn1 0.5000 0.5000 0.5000  4 P 3.33, 8 Cl 3.45
P1 0.0000 0.0000 0.5000  2 Mn 2.53
Cl1 0.0000 0.5000 0.0000  2 Mn 2.35

***

[9]
A plane-wave DFT calculation with PBE-GGA was carried out for a geometry-optimized AgS3F structure.

Results
raw formation energy = 0.87 eV per atom
E = -2.552 eV per atom

a b c (Å): 4.4419 4.4419 4.4419
angles (deg): 90.00 90.00 90.00
Closest atoms and distances in Å follow each position.
Space group Pm-3m (No. 221)
One atom of each set of equivalent atoms:
Ag1 0.0000 0.0000 0.0000  12 S 3.14
S1 0.0000 0.5000 0.5000  2 F 2.22
F1 0.5000 0.5000 0.5000  6 S 2.22

***

[10]
A plane-wave DFT calculation with PBE-GGA was carried out for a geometry-optimized SiAs2Os structure.

Results
raw formation energy = 0.43 eV per atom
E = -6.061 eV per atom

a b c (Å): 2.9367 4.9923 9.3428
angles (deg): 90.00 90.00 90.00
Closest atoms and distances in Å follow each position.
Space group Cmm2 (No. 35)
One atom of each set of equivalent atoms:
Si1 0.0000 0.0000 0.0000  2 Os 2.42
As1 0.0000 0.0000 0.4316  2 Os 2.57
As2 0.0000 0.5000 0.7559  2 Si 2.71, 6 As 2.90-2.94
Os1 0.0000 0.5000 0.2054  2 Si 2.42, 2 As 2.57

***

[11]
A plane-wave DFT calculation with PBE-GGA was carried out for a geometry-optimized Rb8SbAu2O structure.

Results
raw formation energy = -0.40 eV per atom
E = -2.351 eV per atom

a b c (Å): 6.3800 10.8312 8.2090
angles (deg): 90.00 99.97 90.00
Closest atoms and distances in Å follow each position.
Space group P2/m (No. 10)
One atom of each set of equivalent atoms:
Rb1 0.0234 0.0000 0.2513  2 Sb 3.61-3.96, 2 Au 3.63
Rb2 0.1149 0.5000 0.8010  1 O 2.70
Rb3 0.4497 0.2887 0.2244  1 O 2.99
Sb1 0.5000 0.0000 0.0000  8 Rb 3.61-3.96
Au1 0.0000 0.2746 0.5000  6 Rb 3.46-3.84
O1 0.5000 0.5000 0.0000  6 Rb 2.70-2.99

***

[12]
A plane-wave DFT calculation with PBE-GGA was carried out for a geometry-optimized DyTm2Th structure.

Results
E = -5.210 eV per atom

a b c (Å): 3.5305 6.6981 10.9698
angles (deg): 90.51 90.01 105.17
Closest atoms and distances in Å follow each position.
Space group P-1 (No. 2)
One atom of each set of equivalent atoms:
Dy1 0.1306 0.2608 0.4833  7 Tm 3.34-3.68, 5 Dy 3.40-3.58
Tm1 0.2520 0.5056 0.7528  3 Th 3.34-3.43, 3 Dy 3.34-3.49, 5 Tm 3.46-3.53
Tm2 0.4793 0.9595 0.2539  5 Tm 3.46-3.53, 4 Dy 3.62-3.68, 4 Th 3.68-3.73
Th1 0.1293 0.2562 0.0178  5 Th 3.33-3.64, 7 Tm 3.34-3.73